A plane-wave DFT calculation with GGA-PBE was carried out for SbIO4 after structural relaxation.

Cell lengths 6.0901, 6.0901, 7.1049 Å; angles 94.31, 94.31, 53.14 degrees
Atoms (fractional coordinates):
Sb  0.5000  0.0000  0.5000
Sb  0.0000  0.5000  0.0000
I  0.0081  0.9919  0.2500
I  0.9919  0.0081  0.7500
O  0.1628  0.2102  0.7259
O  0.2741  0.7874  0.4416
O  0.7259  0.2126  0.5584
O  0.2102  0.1628  0.2259
O  0.7898  0.8372  0.7741
O  0.2126  0.7259  0.0584
O  0.7874  0.2741  0.9416
O  0.8372  0.7898  0.2741

Results
* raw formation energy: -526.1 meV per atom
* V: 17.5 Å³ per atom
* E_tot: -4.777 eV/atom

---

A plane-wave DFT calculation with GGA-PBE was carried out for Sb2IO after structural relaxation.

Cell lengths 5.0804, 5.0804, 5.0804 Å; angles 60.00, 60.00, 60.00 degrees
Atoms (fractional coordinates):
I  0.5000  0.5000  0.5000
Sb  0.2500  0.2500  0.2500
Sb  0.7500  0.7500  0.7500
O  0.0000  0.0000  0.0000

Results
* density of states at the Fermi level: 3.33 states/eV/cell
* raw formation energy: 603.2 meV per atom
* polymorph energy (0 for the lowest one): 726.1 meV/atom
* V: 23.2 Å³ per atom
* E_tot: -3.085 eV/atom

---

A plane-wave DFT calculation with GGA-PBE was carried out for SbIO2 after structural relaxation.

Cell lengths 6.4623, 6.4623, 6.4621 Å; angles 60.00, 60.00, 90.00 degrees
Each line ends with the local moment (μB).
Atoms (fractional coordinates):
I  0.0000  0.0000  0.0000  0.53
I  0.7500  0.2500  0.5000  0.53
Sb  0.5000  0.5000  0.0000  0.00
Sb  0.2500  0.7500  0.5000  0.00
O  0.3735  0.1250  0.2500  0.02
O  0.3765  0.6250  0.2500  0.02
O  0.3750  0.6265  0.7500  0.03
O  0.8750  0.6235  0.7500  0.04

Results
* density of states at the Fermi level: 18.23 states/eV/cell
* raw formation energy: -589.3 meV per atom
* polymorph energy (0 for the lowest one): 220.9 meV/atom
* V: 23.9 Å³ per atom
* E_tot: -4.486 eV/atom